Computed, not measured: MgIn2P after structural relaxation at the PBE level of DFT.

Cell lengths 5.0837, 5.0837, 5.0837 Å; angles 60.00, 60.00, 60.00 degrees
Fractional coordinates of all 4 atoms:
1 In 0.7500 0.7500 0.7500
2 Mg 0.0000 0.0000 0.0000
3 P 0.5000 0.5000 0.5000
4 In 0.2500 0.2500 0.2500

Output
Space group: Fm-3m (225)
Energy of formation, eV/atom: 0.22

***

Computed, not measured: Sc2TeAs after structural relaxation at the PBE level of DFT.

Cell lengths 3.6527, 3.5706, 7.1709 Å; angles 73.56, 90.00, 90.00 degrees
Fractional coordinates of all 4 atoms:
1 Te 0.5000 0.2500 0.2500
2 As 0.5000 0.7500 0.7500
3 Sc 0.0000 0.9361 0.9804
4 Sc 0.0000 0.5639 0.5196

Output
Space group: P2/m (10)
Formation energy without anion corrections, eV per atom: -0.95

***

Computed, not measured: Tb5PaRu4 after structural relaxation at the PBE level of DFT.

Cell lengths 4.5268, 6.9807, 8.3851 Å; angles 109.72, 105.66, 90.00 degrees
Fractional coordinates of all 10 atoms:
1 Ru 0.0093 0.7967 0.0186
2 Ru 0.6581 0.9356 0.3162
3 Tb 0.1653 0.7028 0.3305
4 Ru 0.3419 0.0644 0.6838
5 Tb 0.8347 0.2972 0.6694
6 Ru 0.9907 0.2033 0.9814
7 Pa 0.5000 0.0000 0.0000
8 Tb 0.5000 0.5000 0.0000
9 Tb 0.1698 0.2057 0.3396
10 Tb 0.8302 0.7943 0.6604

Output
Space group: C2/m (12)
Energy of formation, eV/atom: -0.33

***

| no. | DFT total energy (eV per atom) |
| --- | --- |
| 1 | -2.90 |
| 2 | -6.06 |
| 3 | -7.31 |